# 1
{
  "formula": "Eu3Lu5O12",
  "functional": "PBE-GGA",
  "state": "relaxed",
  "magnetic_moment_mub_per_cell": 71.997,
  "energy_ev_per_atom": -8.818,
  "formation_energy_uncorrected_ev_per_atom": -3.172,
  "lattice": [[-10.1735, 2.1485, 5.1996], [-0.7756, -9.8620, -6.1067], [8.3171, -1.0717, 8.0517]],
  "species": ["Lu", "Lu", "O", "O", "O", "O", "O", "O", "O", "O", "O", "Eu", "O", "Eu", "Lu", "O", "Lu", "O", "Lu", "Lu", "O", "Eu", "O", "O", "Eu", "O", "Lu", "O", "Lu", "O", "Lu", "O", "O", "O", "O", "Eu", "Lu", "O", "Eu", "O", "O", "O", "O", "Lu", "Eu", "O", "Lu", "O", "O", "O", "O", "O", "O", "Eu", "O", "O", "O", "Lu", "Lu", "O", "O", "Eu", "O", "O", "Lu", "Lu", "Lu", "O", "O", "O", "Lu", "O", "O", "O", "Lu", "Eu", "O", "Lu", "Eu", "Eu"],
  "frac_coords": [[0.8750, 0.2500, 0.6250], [0.3750, 0.1250, 0.7500], [0.4097, 0.0371, 0.3244], [0.9147, 0.8244, 0.7873], [0.4629, 0.7873, 0.8726], [0.9147, 0.0903, 0.6274], [0.2873, 0.4147, 0.8244], [0.0853, 0.1756, 0.2127], [0.2127, 0.5371, 0.6274], [0.6274, 0.0371, 0.2127], [0.8726, 0.2873, 0.4629], [0.7500, 0.8750, 0.6250], [0.0853, 0.9097, 0.3726], [0.6250, 0.2500, 0.3750], [0.6250, 0.8750, 0.2500], [0.1756, 0.0903, 0.9629], [0.5000, 0.0000, 0.5000], [0.4147, 0.2873, 0.3244], [0.5000, 0.5000, 0.5000], [0.0000, 0.0000, 0.5000], [0.2127, 0.6756, 0.0853], [0.3750, 0.7500, 0.6250], [0.9629, 0.5903, 0.1756], [0.4147, 0.1274, 0.5903], [0.3750, 0.6250, 0.2500], [0.3244, 0.5371, 0.4097], [0.5000, 0.0000, 0.0000], [0.5371, 0.2127, 0.1274], [0.1250, 0.3750, 0.2500], [0.4629, 0.6756, 0.0903], [0.0000, 0.0000, 0.0000], [0.2873, 0.8726, 0.9629], [0.9629, 0.3726, 0.2873], [0.5903, 0.6274, 0.4147], [0.9097, 0.8244, 0.5371], [0.2500, 0.6250, 0.8750], [0.1250, 0.7500, 0.3750], [0.7127, 0.1274, 0.0371], [0.7500, 0.3750, 0.1250], [0.0903, 0.1756, 0.4629], [0.8726, 0.5853, 0.9097], [0.3726, 0.9629, 0.7873], [0.8244, 0.9147, 0.2873], [0.2500, 0.3750, 0.6250], [0.2500, 0.1250, 0.3750], [0.5371, 0.3244, 0.9097], [0.3750, 0.2500, 0.1250], [0.6756, 0.4629, 0.5903], [0.5853, 0.8726, 0.4097], [0.9097, 0.0853, 0.8726], [0.0903, 0.9147, 0.1274], [0.7873, 0.4629, 0.3726], [0.1274, 0.4147, 0.0903], [0.8750, 0.7500, 0.1250], [0.3244, 0.7873, 0.4147], [0.0371, 0.4097, 0.8244], [0.4097, 0.3726, 0.5853], [0.2500, 0.8750, 0.1250], [0.6250, 0.7500, 0.8750], [0.7127, 0.5853, 0.1756], [0.1756, 0.0853, 0.7127], [0.8750, 0.1250, 0.2500], [0.0371, 0.6274, 0.7127], [0.6274, 0.5903, 0.9147], [0.7500, 0.1250, 0.8750], [0.7500, 0.6250, 0.3750], [0.0000, 0.5000, 0.0000], [0.7873, 0.3244, 0.9147], [0.6756, 0.2127, 0.5853], [0.3726, 0.4097, 0.0853], [0.5000, 0.5000, 0.0000], [0.5853, 0.7127, 0.6756], [0.5903, 0.9629, 0.6756], [0.1274, 0.7127, 0.5371], [0.8750, 0.6250, 0.7500], [0.6250, 0.3750, 0.7500], [0.8244, 0.9097, 0.0371], [0.0000, 0.5000, 0.5000], [0.1250, 0.8750, 0.7500], [0.1250, 0.2500, 0.8750]]
}

# 2
{
  "formula": "Eu2LuTaO6",
  "functional": "PBE-GGA",
  "state": "relaxed",
  "magnetic_moment_mub_per_cell": 14.000,
  "energy_ev_per_atom": -9.792,
  "formation_energy_uncorrected_ev_per_atom": -3.125,
  "lattice": [[5.8665, 0.0000, 0.0000], [2.9333, 5.0806, 0.0000], [2.9333, 1.6935, 4.7900]],
  "species": ["Eu", "O", "O", "O", "Lu", "O", "O", "Eu", "Ta", "O"],
  "frac_coords": [[0.2500, 0.2500, 0.2500], [0.7596, 0.7596, 0.2404], [0.2404, 0.2404, 0.7596], [0.2404, 0.7596, 0.7596], [0.5000, 0.5000, 0.5000], [0.7596, 0.2404, 0.2404], [0.7596, 0.2404, 0.7596], [0.7500, 0.7500, 0.7500], [0.0000, 0.0000, 0.0000], [0.2404, 0.7596, 0.2404]]
}

# 3
{
  "formula": "EuLuOs4",
  "functional": "PBE-GGA",
  "state": "relaxed",
  "magnetic_moment_mub_per_cell": 5.858,
  "energy_ev_per_atom": -10.038,
  "e_form_ev_per_atom": -0.0859,
  "lattice": [[-3.6552, -2.8161, -2.7404], [-2.2839, -4.3159, 2.2266], [-5.1590, 0.1520, 1.4703]],
  "species": ["Os", "Lu", "Eu", "Os", "Os", "Os"],
  "frac_coords": [[0.1245, 0.6252, 0.6252], [0.0000, 0.0000, 0.0000], [0.2500, 0.2500, 0.2500], [0.6252, 0.6252, 0.6252], [0.6252, 0.1245, 0.6252], [0.6252, 0.6252, 0.1245]]
}

# 4
{
  "formula": "EuLu3Os",
  "functional": "PBE-GGA",
  "state": "relaxed",
  "magnetic_moment_mub_per_cell": 7.388,
  "energy_ev_per_atom": -7.136,
  "e_form_ev_per_atom": -0.1221,
  "lattice": [[-1.1224, 4.8900, -1.9184], [0.0787, -1.9459, -5.0060], [-5.2523, -1.0741, 0.3350]],
  "species": ["Eu", "Lu", "Lu", "Os", "Lu"],
  "frac_coords": [[0.5000, 0.5000, 0.5000], [0.0000, 0.0000, 0.5000], [0.0000, 0.5000, 0.0000], [0.0000, 0.0000, 0.0000], [0.5000, 0.0000, 0.0000]]
}

# 5
{
  "formula": "EuLuP2",
  "functional": "PBE-GGA",
  "state": "relaxed",
  "magnetic_moment_mub_per_cell": 6.330,
  "energy_ev_per_atom": -7.713,
  "e_form_ev_per_atom": -1.3095,
  "lattice": [[4.0306, 0.0000, 0.0000], [2.0153, 3.4906, 0.0000], [2.0153, 1.1635, 6.6274]],
  "species": ["P", "Eu", "P", "Lu"],
  "frac_coords": [[0.7445, 0.7445, 0.7664], [0.5000, 0.5000, 0.5000], [0.2555, 0.2555, 0.2336], [0.0000, 0.0000, 0.0000]]
}

# 6
{
  "formula": "EuLuPb2",
  "functional": "PBE-GGA",
  "state": "relaxed",
  "magnetic_moment_mub_per_cell": 7.184,
  "energy_ev_per_atom": -5.951,
  "e_form_ev_per_atom": -0.3980,
  "lattice": [[-2.5605, 1.2232, 3.4704], [2.7534, -2.9920, 3.0860], [3.1583, 3.8942, 0.9576]],
  "species": ["Pb", "Eu", "Lu", "Pb"],
  "frac_coords": [[0.0000, 0.5000, 0.0000], [0.5000, 0.5000, 0.5000], [0.5000, 0.0000, 0.0000], [0.0000, 0.0000, 0.5000]]
}

# 7
{
  "formula": "EuLuPb2",
  "functional": "PBE-GGA",
  "state": "relaxed",
  "magnetic_moment_mub_per_cell": 7.241,
  "energy_ev_per_atom": -5.977,
  "e_form_ev_per_atom": -0.4237,
  "lattice": [[4.0196, 0.0000, 0.0000], [0.0000, 4.0196, 0.0000], [0.0000, 0.0000, 7.3646]],
  "species": ["Eu", "Lu", "Pb", "Pb"],
  "frac_coords": [[0.5000, 0.5000, 0.5000], [0.5000, 0.5000, 0.0000], [0.0000, 0.0000, 0.2268], [0.0000, 0.0000, 0.7732]]
}

# 8
{
  "formula": "EuLuPb",
  "functional": "PBE-GGA",
  "state": "relaxed",
  "magnetic_moment_mub_per_cell": 7.638,
  "energy_ev_per_atom": -6.376,
  "e_form_ev_per_atom": -0.2078,
  "lattice": [[5.2987, 0.0000, 0.0000], [2.6494, 4.5888, 0.0000], [2.6494, 1.5296, 4.3264]],
  "species": ["Eu", "Lu", "Pb"],
  "frac_coords": [[0.5000, 0.5000, 0.5000], [0.0000, 0.0000, 0.0000], [0.2500, 0.2500, 0.2500]]
}

# 9
{
  "formula": "EuLuPb2",
  "functional": "PBE-GGA",
  "state": "relaxed",
  "magnetic_moment_mub_per_cell": 7.149,
  "energy_ev_per_atom": -5.937,
  "e_form_ev_per_atom": -0.3842,
  "lattice": [[5.5157, 0.0000, 0.0000], [2.7579, 4.7768, 0.0000], [2.7579, 1.5923, 4.5036]],
  "species": ["Eu", "Pb", "Lu", "Pb"],
  "frac_coords": [[0.0000, 0.0000, 0.0000], [0.2500, 0.2500, 0.2500], [0.5000, 0.5000, 0.5000], [0.7500, 0.7500, 0.7500]]
}

# 10
{
  "formula": "EuLuPb",
  "functional": "PBE-GGA",
  "state": "relaxed",
  "magnetic_moment_mub_per_cell": 7.652,
  "energy_ev_per_atom": -6.422,
  "e_form_ev_per_atom": -0.2538,
  "lattice": [[-1.6350, 1.7005, -2.9722], [-3.3731, -4.1518, -0.5198], [-1.3315, 4.1700, 3.1183]],
  "species": ["Pb", "Eu", "Lu"],
  "frac_coords": [[0.8368, 0.6667, 0.3333], [0.3323, 0.3333, 0.6667], [0.8309, 0.0000, 0.0000]]
}

# 11
{
  "formula": "EuLuPb",
  "functional": "PBE-GGA",
  "state": "relaxed",
  "magnetic_moment_mub_per_cell": 8.443,
  "energy_ev_per_atom": -6.396,
  "e_form_ev_per_atom": -0.2285,
  "lattice": [[-2.7789, -2.9187, 0.0340], [2.9160, -2.7781, -0.1449], [0.1146, 2.7410, 5.8007]],
  "species": ["Eu", "Pb", "Lu"],
  "frac_coords": [[0.9428, 0.9428, 0.8856], [0.2684, 0.2684, 0.5367], [0.6388, 0.6388, 0.2777]]
}

# 12
{
  "formula": "EuLuPtPb",
  "functional": "PBE-GGA",
  "state": "relaxed",
  "magnetic_moment_mub_per_cell": 6.815,
  "energy_ev_per_atom": -6.774,
  "e_form_ev_per_atom": -0.6381,
  "lattice": [[-3.6849, 2.0517, 3.0697], [-4.9945, -1.3535, -0.6586], [-2.3864, -2.9769, 3.5572]],
  "species": ["Pt", "Eu", "Pb", "Lu"],
  "frac_coords": [[0.7500, 0.7500, 0.7500], [0.0000, 0.0000, 0.0000], [0.2500, 0.2500, 0.2500], [0.5000, 0.5000, 0.5000]]
}